Entry from Alexandria via LeMat-Bulk: a geometry-optimized Na2CaBeN structure (PBE).

Cell lengths 6.189, 6.189, 4.149 Å; angles 90.00, 90.00, 90.00 degrees
Positions (direct):
Na: 0.000 0.500 0.000
Na: 0.500 0.000 0.000
Ca: 0.000 0.000 0.000
Be: 0.500 0.500 0.500
N: 0.000 0.000 0.500

Results
Magnetization   0.00 μB per formula unit
Energy relative to the elements, uncorrected   1.042 eV/atom